Here is Li3CoAs after structural relaxation from Alexandria via LeMat-Bulk. Energies are from PBE.

Cell and atoms, written as POSCAR:
```
Li3CoAs
1.0
4.468 0.000 0.000
0.000 4.468 0.000
0.000 0.000 4.468
Li Co As
3 1 1
Direct
0.000 0.000 0.500
0.000 0.500 0.000
0.500 0.000 0.000
0.000 0.000 0.000
0.500 0.500 0.500
```

Values from the calculation:
- total magnetic moment (μB per formula unit) = 2.0
- formation energy (kJ/mol of atoms) = 50
- ΔE to the lowest computed polymorph (eV/atom) = 0.168